VASP calculation (PBE) on crystalline NaCa2Ce at its relaxed geometry.

* ΔH_f (0 K): 282.1 meV per atom
* space-group type: No. 166
* N(E_F): 7.30 states/eV/cell
* energy above the most stable polymorph in this dataset: 107.6 meV/atom
* total magnetic moment: 1.521 μB/cell

Lattice parameters (Å, degrees): 13.532 13.532 13.532 15.12 15.12 15.12
Positions (direct):
Na  0.000  0.000  0.000
Ca  0.414  0.414  0.414
Ca  0.586  0.586  0.586
Ce  0.500  0.500  0.500